CaOsBr | GGA-PBE | relaxed

Lattice parameters (Å, degrees): 4.492 4.492 3.471 90.00 90.00 120.00
Positions (direct):
Ca (0.000, 0.000, 0.000)
Os (0.667, 0.333, 0.500)
Br (0.333, 0.667, 0.500)

Summary:
Formation energy without anion corrections ... 1.3 eV/f.u.
N(E_F) ... 2.61 states/eV per cell
V ... 60.7 Å³/f.u.
Energy above the lowest structure with this stoichiometry ... 0.0 kJ/mol of formula units
Magnetization ... 0.00 μB per formula unit
Crystal system ... hexagonal

---

NdBeBi | GGA-PBE | relaxed

Lattice parameters (Å, degrees): 6.563 6.563 12.375 90.00 90.00 120.00
Positions (direct):
Nd (0.000, 0.500, 0.389)
Nd (0.000, 0.500, 0.944)
Nd (0.500, 0.000, 0.278)
Nd (0.500, 0.000, 0.722)
Nd (0.500, 0.500, 0.056)
Nd (0.500, 0.500, 0.611)
Be (0.177, 0.588, 0.167)
Be (0.412, 0.588, 0.833)
Be (0.412, 0.823, 0.500)
Be (0.588, 0.177, 0.500)
Be (0.588, 0.412, 0.833)
Be (0.823, 0.412, 0.167)
Bi (0.000, 0.000, 0.167)
Bi (0.000, 0.000, 0.500)
Bi (0.000, 0.000, 0.833)
Bi (0.000, 0.500, 0.667)
Bi (0.500, 0.000, 0.000)
Bi (0.500, 0.500, 0.333)

Summary:
N(E_F) ... 16.53 states/eV per cell
V ... 76.9 Å³/f.u.
Formation energy ... 0.083 eV/atom
Magnetization ... 0.00 μB per formula unit
Crystal system ... hexagonal

---

Nd3Tm2Bi3 | GGA-PBE | relaxed

Lattice parameters (Å, degrees): 7.490 7.490 16.040 90.00 90.00 145.25
Positions (direct):
Nd (0.047, 0.953, 0.617)
Nd (0.047, 0.953, 0.883)
Nd (0.339, 0.661, 0.750)
Nd (0.661, 0.339, 0.250)
Nd (0.953, 0.047, 0.117)
Nd (0.953, 0.047, 0.383)
Tm (0.239, 0.761, 0.093)
Tm (0.239, 0.761, 0.407)
Tm (0.761, 0.239, 0.593)
Tm (0.761, 0.239, 0.907)
Bi (0.367, 0.633, 0.250)
Bi (0.395, 0.605, 0.541)
Bi (0.395, 0.605, 0.959)
Bi (0.605, 0.395, 0.041)
Bi (0.605, 0.395, 0.459)
Bi (0.633, 0.367, 0.750)

Summary:
N(E_F) ... 19.17 states/eV per cell
V ... 256.5 Å³/f.u.
Formation energy ... -0.590 eV/atom
Magnetization ... 0.00 μB per formula unit
Crystal system ... orthorhombic

---

CeAl5Zn7 | GGA-PBE | relaxed

Lattice parameters (Å, degrees): 6.882 6.882 6.882 132.32 98.85 99.95
Positions (direct):
Ce (0.000, 0.000, 0.000)
Al (0.216, 0.716, 0.500)
Al (0.500, 0.494, 0.503)
Al (0.500, 0.997, 0.006)
Al (0.991, 0.494, 0.994)
Al (0.991, 0.997, 0.497)
Zn (0.214, 0.497, 0.717)
Zn (0.349, 0.994, 0.355)
Zn (0.350, 0.350, 0.000)
Zn (0.640, 0.994, 0.645)
Zn (0.642, 0.642, 0.000)
Zn (0.780, 0.497, 0.283)
Zn (0.784, 0.284, 0.500)

Summary:
N(E_F) ... 7.19 states/eV per cell
V ... 220.5 Å³/f.u.
Formation energy ... -0.138 eV/atom
Magnetization ... 0.66 μB per formula unit
Crystal system ... orthorhombic

---

Tm6MgNi | GGA-PBE | relaxed

Lattice parameters (Å, degrees): 6.855 6.858 7.047 90.04 119.06 119.97
Positions (direct):
Tm (0.055, 0.077, 0.260)
Tm (0.282, 0.705, 0.260)
Tm (0.317, 0.522, 0.740)
Tm (0.683, 0.478, 0.260)
Tm (0.718, 0.295, 0.740)
Tm (0.945, 0.923, 0.740)
Mg (0.500, 0.000, 0.000)
Ni (0.500, 0.500, 0.500)

Summary:
N(E_F) ... 11.38 states/eV per cell
V ... 237.6 Å³/f.u.
Formation energy ... 0.147 eV/atom
Magnetization ... 0.00 μB per formula unit
Crystal system ... triclinic

---

Fe3HW | GGA-PBE | relaxed

Lattice parameters (Å, degrees): 7.015 7.015 7.015 37.07 37.07 37.07
Positions (direct):
Fe (0.119, 0.440, 0.775)
Fe (0.225, 0.881, 0.560)
Fe (0.440, 0.775, 0.119)
Fe (0.560, 0.225, 0.881)
Fe (0.775, 0.119, 0.440)
Fe (0.881, 0.560, 0.225)
H (0.167, 0.167, 0.167)
H (0.833, 0.833, 0.833)
W (0.332, 0.332, 0.332)
W (0.668, 0.668, 0.668)

Summary:
N(E_F) ... 10.66 states/eV per cell
V ... 56.2 Å³/f.u.
Energy above the lowest structure with this stoichiometry ... 166.2 kJ/mol of formula units
Magnetization ... 5.83 μB per formula unit
Crystal system ... trigonal